(1)
! Y3PaFe8 PBE-GGA relaxed; values from VASP
! crystal system	trigonal
! formation enthalpy at 0 K	-1.85	kcal/mol of atoms
&SYSTEM
  ibrav = 0, nat = 12, ntyp = 3
/
ATOMIC_SPECIES
Y 88.91 Y.upf
Fe 55.84 Fe.upf
Pa 231.04 Pa.upf
CELL_PARAMETERS angstrom
-4.571 -1.068 -2.109
-0.666 -4.382 -2.615
-4.097 -5.662 5.469
ATOMIC_POSITIONS crystal
Y 0.500 0.500 0.501
Y 0.001 0.001 0.998
Y 0.375 0.375 0.876
Fe 0.937 0.441 0.685
Fe 0.441 0.937 0.685
Fe 0.936 0.437 0.190
Fe 0.437 0.936 0.190
Fe 0.688 0.688 0.936
Fe 0.937 0.937 0.685
Fe 0.188 0.188 0.437
Fe 0.437 0.437 0.190
Pa 0.875 0.875 0.376

(2)
! LaZnTc2 PBE-GGA relaxed; values from VASP
! crystal system	orthorhombic
! formation enthalpy at 0 K	13.78	kcal/mol of atoms
&SYSTEM
  ibrav = 0, nat = 4, ntyp = 3
/
ATOMIC_SPECIES
La 138.91 La.upf
Tc 98.00 Tc.upf
Zn 65.41 Zn.upf
CELL_PARAMETERS angstrom
-3.730 3.503 1.692
-2.255 -4.533 -1.849
0.119 -1.068 2.474
ATOMIC_POSITIONS crystal
La 0.000 0.500 0.500
Tc 0.500 0.500 0.000
Tc 0.000 0.000 0.000
Zn 0.500 0.000 0.500

Look up the formation enthalpy at 0 K of the second one.
13.78 kcal/mol of atoms